(1)
A relaxed AlW2 crystal, computed with PBE-GGA.

Computed properties:
density of states at the Fermi level	0.593	states/eV per atom

a = 2.707 Å, b = 4.278 Å, c = 8.207 Å
α = 90.00°, β = 90.00°, γ = 90.00°
Space group Immm (No. 71)
Unique sites:
Al 0.000 0.000 0.000 [2 per cell]
W 0.000 0.000 0.336 [4 per cell]


(2)
A relaxed AlW5 crystal, computed with PBE-GGA.

Computed properties:
density of states at the Fermi level	0.744	states/eV per atom

a = 10.644 Å, b = 2.689 Å, c = 7.054 Å
α = 90.00°, β = 105.81°, γ = 90.00°
Space group Cm (No. 8)
Unique sites:
Al 0.000 0.000 0.000 [2 per cell]
W 0.059 0.000 0.629 [2 per cell]
W 0.164 0.500 0.328 [2 per cell]
W 0.227 0.500 0.958 [2 per cell]
W 0.332 0.000 0.667 [2 per cell]
W 0.401 0.000 0.287 [2 per cell]


(3)
A relaxed AlW crystal, computed with PBE-GGA.

Computed properties:
density of states at the Fermi level	0.896	states/eV per atom

a = 5.131 Å, b = 5.131 Å, c = 5.131 Å
α = 90.00°, β = 90.00°, γ = 90.00°
Space group Fm-3m (No. 225)
Unique sites:
Al 0.000 0.000 0.000 [4 per cell]
W 0.000 0.000 0.500 [4 per cell]


(4)
A relaxed Al3W4 crystal, computed with PBE-GGA.

Computed properties:
density of states at the Fermi level	0.691	states/eV per atom

a = 4.9600 Å, b = 4.9600 Å, c = 4.9719 Å
α = 90.00°, β = 90.00°, γ = 120.00°
Space group P6/mmm (No. 191)
Unique sites:
Al 0.0000 0.5000 0.0000 [3 per cell]
W 0.0000 0.0000 0.2494 [2 per cell]
W 0.3333 0.6667 0.5000 [2 per cell]


(5)
A relaxed Al4W5 crystal, computed with PBE-GGA.

Computed properties:
density of states at the Fermi level	0.613	states/eV per atom

a = 7.8020 Å, b = 7.8020 Å, c = 5.2548 Å
α = 90.00°, β = 90.00°, γ = 120.00°
Space group P6_3/mcm (No. 193)
Unique sites:
Al 0.0000 0.0000 0.0000 [2 per cell]
Al 0.0000 0.3848 0.2500 [6 per cell]
W 0.0000 0.2862 0.7500 [6 per cell]
W 0.3333 0.6667 0.0000 [4 per cell]


(6)
A relaxed Al2W crystal, computed with PBE-GGA.

Computed properties:
density of states at the Fermi level	0.468	states/eV per atom

a = 4.4233 Å, b = 4.4233 Å, c = 2.6937 Å
α = 90.00°, β = 90.00°, γ = 120.00°
Space group P-3m1 (No. 164)
Unique sites:
Al 0.3333 0.6667 0.0645 [2 per cell]
W 0.0000 0.0000 0.5000 [1 per cell]


| no. | E_tot (Ry/atom) |
| --- | --- |
| 1 | -0.71794 |
| 2 | -0.81659 |
| 3 | -0.54452 |
| 4 | -0.65955 |
| 5 | -0.63984 |
| 6 | -0.50234 |